[1]
# Sn2HRhI

A relaxed Sn2HRhI crystal (PBEsol, Alexandria).

N(E_F) ... 2.8 states/eV per cell
Uncorrected energy ... -3.8317 eV/atom

abc: 4.2594 4.2594 5.2628
angles: 90.00 90.00 90.00
Space group P4/mmm (No. 123)
Asymmetric unit:
Sn  0.0000  0.5000  0.0000 (multiplicity 2)
H  0.0000  0.0000  0.0000 (multiplicity 1)
Rh  0.5000  0.5000  0.5000 (multiplicity 1)
I  0.0000  0.0000  0.5000 (multiplicity 1)

[2]
# HRu3I

A relaxed HRu3I crystal (PBEsol, Alexandria).

N(E_F) ... 6.4 states/eV per cell
Uncorrected energy ... -4.5066 eV/atom

abc: 4.7799 4.7799 4.7799
angles: 90.00 90.00 90.00
Space group Pm-3m (No. 221)
Asymmetric unit:
H  0.0000  0.0000  0.0000 (multiplicity 1)
Ru  0.0000  0.5000  0.5000 (multiplicity 3)
I  0.5000  0.5000  0.5000 (multiplicity 1)

[3]
# HS3I

A relaxed HS3I crystal (PBEsol, Alexandria).

N(E_F) ... 3.7 states/eV per cell
Uncorrected energy ... -2.6931 eV/atom

abc: 4.2392 4.2392 4.2392
angles: 90.00 90.00 90.00
Space group Pm-3m (No. 221)
Asymmetric unit:
H  0.0000  0.0000  0.0000 (multiplicity 1)
S  0.0000  0.0000  0.5000 (multiplicity 3)
I  0.5000  0.5000  0.5000 (multiplicity 1)

[4]
# SbH3I

A relaxed SbH3I crystal (PBEsol, Alexandria).

N(E_F) ... 1.6 states/eV per cell
Uncorrected energy ... -2.8231 eV/atom

abc: 4.0795 4.0795 4.0795
angles: 90.00 90.00 90.00
Space group Pm-3m (No. 221)
Asymmetric unit:
Sb  0.0000  0.0000  0.0000 (multiplicity 1)
H  0.0000  0.0000  0.5000 (multiplicity 3)
I  0.5000  0.5000  0.5000 (multiplicity 1)

[5]
# ScSb2HI

A relaxed ScSb2HI crystal (PBEsol, Alexandria).

N(E_F) ... 2.2 states/eV per cell
Uncorrected energy ... -4.1472 eV/atom

abc: 4.3742 4.3742 5.6836
angles: 90.00 90.00 90.00
Space group P4/mmm (No. 123)
Asymmetric unit:
Sc  0.0000  0.0000  0.0000 (multiplicity 1)
Sb  0.0000  0.5000  0.5000 (multiplicity 2)
H  0.5000  0.5000  0.5000 (multiplicity 1)
I  0.5000  0.5000  0.0000 (multiplicity 1)

[6]
# Sb2TeHI

A relaxed Sb2TeHI crystal (PBEsol, Alexandria).

N(E_F) ... 6.3 states/eV per cell
Uncorrected energy ... -2.0627 eV/atom

abc: 5.8527 5.8527 5.8647
angles: 90.00 90.00 90.00
Space group P4/mmm (No. 123)
Asymmetric unit:
Sb  0.0000  0.5000  0.0000 (multiplicity 2)
Te  0.0000  0.0000  0.5000 (multiplicity 1)
H  0.5000  0.5000  0.5000 (multiplicity 1)
I  0.0000  0.0000  0.0000 (multiplicity 1)

[7]
# SbHWI2

A relaxed SbHWI2 crystal (PBEsol, Alexandria).

N(E_F) ... 4.6 states/eV per cell
Uncorrected energy ... -3.9860 eV/atom

abc: 5.5393 5.5393 5.1588
angles: 90.00 90.00 90.00
Space group P4/mmm (No. 123)
Asymmetric unit:
Sb  0.0000  0.0000  0.0000 (multiplicity 1)
H  0.5000  0.5000  0.0000 (multiplicity 1)
W  0.0000  0.0000  0.5000 (multiplicity 1)
I  0.0000  0.5000  0.5000 (multiplicity 2)

[8]
# ScH2I

A relaxed ScH2I crystal (PBEsol, Alexandria).

Uncorrected energy ... -4.1977 eV/atom

abc: 4.4651 4.4651 12.2868
angles: 90.00 90.00 90.00
Space group I4_1/amd (No. 141, origin choice 2)
Asymmetric unit:
Sc  0.0000  0.2500  0.3750 (multiplicity 4)
H  0.0000  0.0000  0.5000 (multiplicity 8)
I  0.0000  0.2500  0.8750 (multiplicity 4)

[9]
# HSe2I

A relaxed HSe2I crystal (PBEsol, Alexandria).

N(E_F) ... 5.1 states/eV per cell
Uncorrected energy ... -2.8645 eV/atom

abc: 5.2484 5.2484 11.1898
angles: 90.00 90.00 120.00
Space group R-3m (No. 166, hexagonal axes)
Asymmetric unit:
H  0.0000  0.0000  0.0000 (multiplicity 3)
Se  0.0000  0.0000  0.1606 (multiplicity 6)
I  0.0000  0.0000  0.5000 (multiplicity 3)

[10]
# Te2HSeI

A relaxed Te2HSeI crystal (PBEsol, Alexandria).

N(E_F) ... 2.9 states/eV per cell
Uncorrected energy ... -2.7576 eV/atom

abc: 4.2305 4.2305 7.4517
angles: 90.00 90.00 90.00
Space group P4/mmm (No. 123)
Asymmetric unit:
Te  0.0000  0.5000  0.0000 (multiplicity 2)
H  0.0000  0.0000  0.0000 (multiplicity 1)
Se  0.5000  0.5000  0.5000 (multiplicity 1)
I  0.0000  0.0000  0.5000 (multiplicity 1)

[11]
# SiHI2

A relaxed SiHI2 crystal (PBEsol, Alexandria).

N(E_F) ... 7.3 states/eV per cell
Uncorrected energy ... -2.5517 eV/atom

abc: 6.9516 6.9516 7.8518
angles: 90.00 90.00 90.00
Space group I-42d (No. 122)
Asymmetric unit:
Si  0.0000  0.0000  0.0000 (multiplicity 4)
H  0.0000  0.0000  0.5000 (multiplicity 4)
I  0.2148  0.7500  0.6250 (multiplicity 8)

[12]
# SnH2I2

A relaxed SnH2I2 crystal (PBEsol, Alexandria).

N(E_F) ... 4.3 states/eV per cell
Uncorrected energy ... -2.4131 eV/atom

abc: 3.8688 3.8688 12.8284
angles: 90.00 90.00 90.00
Space group I4/mmm (No. 139)
Asymmetric unit:
Sn  0.0000  0.0000  0.0000 (multiplicity 2)
H  0.0000  0.5000  0.2500 (multiplicity 4)
I  0.0000  0.0000  0.3512 (multiplicity 4)